Record 1
First-principles (GGA-PBE) data for a relaxed structure of Pm6Nd2Tm3Tl, as listed in Alexandria via LeMat-Bulk.

Properties
The calculation puts the calculated total energy at -4.5115 eV per atom. Its space group is C2/m (12).

Cell and atoms, written as POSCAR:
```
Pm6Nd2Tm3Tl
1.0
6.189 -0.006 0.000
-3.098 5.358 0.000
-1.034 -1.791 11.676
Pm Nd Tm Tl
6 2 3 1
direct
0.589 0.916 0.747 Pm
0.916 0.589 0.747 Pm
0.084 0.411 0.253 Pm
0.411 0.084 0.253 Pm
0.243 0.243 0.746 Pm
0.757 0.757 0.254 Pm
0.666 0.334 0.000 Nd
0.334 0.666 0.000 Nd
0.500 0.500 0.500 Tm
0.167 0.833 0.500 Tm
0.833 0.167 0.500 Tm
0.000 0.000 0.000 Tl
```

Record 2
First-principles (GGA-PBE) data for a relaxed structure of Pm2NdTmTl4, as listed in Alexandria via LeMat-Bulk.

Properties
The calculation puts the calculated total energy at -3.8855 eV per atom. Its space group is R-3m (166).

Cell and atoms, written as POSCAR:
```
Pm2NdTmTl4
1.0
-0.851 -3.154 4.363
3.835 -3.525 1.604
4.582 4.063 7.234
Tm Tl Pm Nd
1 4 2 1
direct
0.500 0.500 0.500 Tm
0.377 0.377 0.870 Tl
0.874 0.874 0.379 Tl
0.126 0.126 0.621 Tl
0.623 0.623 0.130 Tl
0.249 0.249 0.253 Pm
0.751 0.751 0.747 Pm
0.000 0.000 0.000 Nd
```